Entry 1:
A relaxed NaNbZn crystal, computed with PBE.

a b c (Å): 8.626 5.441 2.830
angles (deg): 74.48 90.25 72.71
Sites, in units of the cell vectors:
Na (0.150, 0.523, 0.125)
Nb (0.516, 0.110, 0.826)
Na (0.909, 0.149, 0.804)
Nb (0.544, 0.562, 0.101)
Zn (0.281, 0.935, 0.409)
Zn (0.778, 0.737, 0.518)

- density of states at the Fermi level (states/eV/cell) = 3.4
- calculated formation energy (eV per atom) = 0.2435
- E above lowest polymorph (kcal/mol of atoms) = 3.308
- space group = P-1 (2)

***

Entry 2:
A relaxed SrUNiN3 crystal, computed with PBE.

a b c (Å): 3.532 7.437 7.240
angles (deg): 103.84 90.00 90.00
Sites, in units of the cell vectors:
U (0.750, 0.327, 0.834)
Ni (0.750, 0.925, 0.405)
N (0.250, 0.812, 0.469)
N (0.250, 0.535, 0.855)
N (0.750, 0.188, 0.531)
Ni (0.250, 0.075, 0.595)
Sr (0.750, 0.792, 0.755)
N (0.250, 0.162, 0.874)
N (0.750, 0.465, 0.145)
U (0.250, 0.673, 0.166)
Sr (0.250, 0.208, 0.245)
N (0.750, 0.838, 0.126)

- density of states at the Fermi level (states/eV/cell) = 7.0
- uncorrected formation energy (meV/atom) = -859
- space group = P2_1/m (11)

***

Entry 3:
A relaxed Nd2C crystal, computed with PBE.

a b c (Å): 3.690 3.689 13.340
angles (deg): 90.00 90.00 120.01
Sites, in units of the cell vectors:
Nd (0.665, 0.829, 0.606)
Nd (0.165, 0.829, 0.894)
C (0.000, 0.500, 0.500)
C (0.500, 0.500, 0.000)
Nd (0.335, 0.171, 0.394)
Nd (0.835, 0.171, 0.106)

- density of states at the Fermi level (states/eV/cell) = 4.6
- calculated formation energy (eV per atom) = -0.1028
- space group = Cmce (64)

***

Entry 4:
A relaxed KNaIn crystal, computed with PBE.

a b c (Å): 3.322 5.975 5.975
angles (deg): 120.00 90.00 90.00
Sites, in units of the cell vectors:
K (0.625, 0.333, 0.667)
Na (0.321, 0.667, 0.333)
In (0.054, 0.000, 0.000)

- density of states at the Fermi level (states/eV/cell) = 1.4
- calculated formation energy (eV per atom) = 0.0004
- E above lowest polymorph (kcal/mol of atoms) = 1.353
- space group = P3m1 (156)

***

Entry 5:
A relaxed Zn6Cu8Pd crystal, computed with PBE.

a b c (Å): 6.568 6.568 6.635
angles (deg): 60.33 60.33 60.00
Sites, in units of the cell vectors:
Cu (0.308, 0.771, 0.320)
Cu (0.692, 0.229, 0.680)
Zn (0.464, 0.937, 0.837)
Cu (0.229, 0.399, 0.680)
Cu (0.399, 0.692, 0.680)
Zn (0.536, 0.063, 0.163)
Cu (0.841, 0.841, 0.477)
Zn (0.761, 0.464, 0.837)
Zn (0.937, 0.761, 0.837)
Cu (0.159, 0.159, 0.523)
Zn (0.063, 0.239, 0.163)
Pd (0.000, 0.000, 0.000)
Cu (0.771, 0.601, 0.320)
Zn (0.239, 0.536, 0.163)
Cu (0.601, 0.308, 0.320)

- density of states at the Fermi level (states/eV/cell) = 4.2
- calculated formation energy (eV per atom) = -0.0604
- space group = R-3 (148)

***

Entry 6:
A relaxed LaCu2P crystal, computed with PBE.

a b c (Å): 3.790 3.769 5.470
angles (deg): 84.58 90.00 90.00
Sites, in units of the cell vectors:
La (0.000, 0.414, 0.572)
Cu (0.000, 0.863, 0.060)
Cu (0.500, 0.344, 0.066)
P (0.500, 0.879, 0.803)

- density of states at the Fermi level (states/eV/cell) = 1.6
- calculated formation energy (eV per atom) = -0.4588
- space group = Pm (6)

***

Entry 7:
A relaxed LaPrCoPd crystal, computed with PBE.

a b c (Å): 5.069 5.069 5.069
angles (deg): 60.00 60.00 60.00
Sites, in units of the cell vectors:
Pr (0.750, 0.750, 0.750)
Pd (0.000, 0.000, 0.000)
Co (0.500, 0.500, 0.500)
La (0.250, 0.250, 0.250)

- density of states at the Fermi level (states/eV/cell) = 2.6
- calculated formation energy (eV per atom) = -0.3140
- space group = F-43m (216)

***

Entry 8:
A relaxed Ba2Sn5Hg crystal, computed with PBE.

a b c (Å): 6.499 8.215 7.409
angles (deg): 56.34 63.99 90.00
Sites, in units of the cell vectors:
Sn (0.699, 0.757, 0.123)
Hg (0.151, 0.151, 0.699)
Ba (0.734, 0.235, 0.531)
Ba (0.156, 0.656, 0.688)
Sn (0.178, 0.119, 0.124)
Sn (0.178, 0.757, 0.123)
Sn (0.698, 0.119, 0.124)
Sn (0.429, 0.429, 0.143)

- density of states at the Fermi level (states/eV/cell) = 3.1
- calculated formation energy (eV per atom) = -0.3498
- space group = Cm (8)

***

Entry 9:
A relaxed Rb4Cr3GaBr12 crystal, computed with PBE.

a b c (Å): 9.349 9.349 9.349
angles (deg): 109.47 109.47 109.47
Sites, in units of the cell vectors:
Rb (0.500, 0.000, 0.000)
Br (0.500, 0.750, 0.250)
Br (0.250, 0.750, 0.500)
Br (0.268, 0.000, 0.268)
Br (0.732, 0.000, 0.732)
Br (0.250, 0.500, 0.750)
Cr (0.500, 0.500, 0.000)
Cr (0.000, 0.500, 0.500)
Br (0.000, 0.732, 0.732)
Rb (0.000, 0.500, 0.000)
Br (0.732, 0.732, 0.000)
Br (0.500, 0.250, 0.750)
Br (0.750, 0.500, 0.250)
Br (0.000, 0.268, 0.268)
Br (0.268, 0.268, 0.000)
Rb (0.000, 0.000, 0.500)
Rb (0.500, 0.500, 0.500)
Cr (0.500, 0.000, 0.500)
Br (0.750, 0.250, 0.500)
Ga (0.000, 0.000, 0.000)

- density of states at the Fermi level (states/eV/cell) = 1.7
- uncorrected formation energy (meV/atom) = -1109
- space group = Im-3m (229)

***

Entry 10:
A relaxed Dy7Ho12Tl crystal, computed with PBE.

a b c (Å): 8.605 8.605 8.605
angles (deg): 87.24 87.24 87.24
Sites, in units of the cell vectors:
Dy (0.073, 0.148, 0.393)
Ho (0.615, 0.140, 0.501)
Dy (0.852, 0.607, 0.927)
Tl (0.000, 0.000, 0.000)
Ho (0.742, 0.863, 0.250)
Dy (0.607, 0.927, 0.852)
Dy (0.148, 0.393, 0.073)
Ho (0.860, 0.499, 0.385)
Ho (0.258, 0.137, 0.750)
Ho (0.385, 0.860, 0.499)
Ho (0.140, 0.501, 0.615)
Ho (0.863, 0.250, 0.742)
Ho (0.137, 0.750, 0.258)
Dy (0.393, 0.073, 0.148)
Dy (0.500, 0.500, 0.500)
Ho (0.750, 0.258, 0.137)
Ho (0.499, 0.385, 0.860)
Ho (0.501, 0.615, 0.140)
Dy (0.927, 0.852, 0.607)
Ho (0.250, 0.742, 0.863)

- density of states at the Fermi level (states/eV/cell) = 31.0
- calculated formation energy (eV per atom) = 0.1796
- space group = R-3 (148)

***

Entry 11:
A relaxed Tb3Sm5Se8 crystal, computed with PBE.

a b c (Å): 8.283 8.283 8.299
angles (deg): 60.06 60.06 60.00
Sites, in units of the cell vectors:
Se (0.753, 0.753, 0.742)
Sm (0.000, 0.000, 0.000)
Se (0.250, 0.755, 0.745)
Tb (0.000, 0.000, 0.500)
Se (0.750, 0.750, 0.255)
Se (0.755, 0.250, 0.745)
Sm (0.500, 0.000, 0.000)
Tb (0.500, 0.000, 0.500)
Se (0.245, 0.750, 0.255)
Se (0.247, 0.247, 0.258)
Se (0.250, 0.250, 0.745)
Sm (0.500, 0.500, 0.000)
Tb (0.000, 0.500, 0.500)
Se (0.750, 0.245, 0.255)
Sm (0.000, 0.500, 0.000)
Sm (0.500, 0.500, 0.500)

- density of states at the Fermi level (states/eV/cell) = 10.8
- uncorrected formation energy (meV/atom) = -1796
- space group = R-3m (166)

***

Entry 12:
A relaxed Co3Ni2Ir crystal, computed with PBE.

a b c (Å): 5.660 5.660 4.639
angles (deg): 89.96 89.96 102.34
Sites, in units of the cell vectors:
Co (0.315, 0.316, 0.500)
Co (0.316, 0.315, 0.000)
Co (0.677, 0.323, 0.250)
Ir (0.058, 0.942, 0.750)
Ni (0.413, 0.925, 0.250)
Co (0.685, 0.684, 0.500)
Ni (0.587, 0.075, 0.750)
Co (0.684, 0.685, 0.000)
Ir (0.942, 0.058, 0.250)
Ni (0.925, 0.413, 0.750)
Co (0.323, 0.677, 0.750)
Ni (0.075, 0.587, 0.250)

- density of states at the Fermi level (states/eV/cell) = 15.5
- calculated formation energy (eV per atom) = 0.1656
- E above lowest polymorph (kcal/mol of atoms) = 0.507
- space group = Cmcm (63)

***

Summary of size of the total moment in μB/cell
0.00; 0.00; 0.00; 0.00; 0.00; 0.00; 0.24; 0.00; 11.00; 0.01; 0.00; 13.95
(order as listed above)